Below is a relaxed structure of BRh6W2, with properties calculated at the PBE level.

a b c (Å): 5.6054 5.6054 5.6052
angles (deg): 59.99 59.99 60.00
Closest atoms and distances in Å follow each position.
Fractional positions:
Rh  0.7589  0.2406  0.7594  1 B 2.05
B  0.5000  0.5000  0.5000  6 Rh 2.05
Rh  0.7591  0.7591  0.2415  1 B 2.05
Rh  0.7594  0.2411  0.2406  1 B 2.05
W  0.7500  0.7500  0.7502  12 Rh 2.80-2.81
Rh  0.2406  0.7589  0.7594  1 B 2.05
W  0.2500  0.2500  0.2498  12 Rh 2.80-2.81
Rh  0.2411  0.7594  0.2406  1 B 2.05
Rh  0.2409  0.2409  0.7585  1 B 2.05

Formation energy from the elements in eV/atom: -0.12
Total DFT energy (no corrections) in eV per atom: -8.644
SG: Fm-3m, No. 225